Below is crystalline TcWIO2 at its relaxed geometry, with properties calculated at the PBE with a Hubbard U level.

Cell and atoms, written as extended XYZ:
```
5
Lattice="3.908 0.000 0.000 0.000 3.908 0.000 0.000 0.000 7.799" Properties=species:S:1:pos:R:3 pbc="T T T"
Tc 0.000 0.000 0.000
W 1.954 1.954 3.899
I 1.954 1.954 0.000
O 0.000 1.954 3.899
O 1.954 0.000 3.899
```

Electronic total energy ... -30.0 eV for the cell shown
Distance to the lowest polymorph of the same formula ... 0 meV/atom